(1)
## PmNdSiNi (PBE)

Data for a geometry-optimized PmNdSiNi structure.

## Properties
SG: No. 38
spin magnetization: 0.0 μB/f.u.
density of states at the Fermi level: 0.97 states/eV/atom

POSCAR file:
```
PmNdSiNi
1.0
4.264 0.000 0.000
0.000 4.146 0.000
-2.132 0.000 5.218
Pm Nd Si Ni
1 1 1 1
Cartesian
2.132 2.073 3.730 Pm
0.000 0.000 1.490 Nd
2.132 2.073 0.625 Si
0.000 0.000 4.591 Ni
```


(2)
## PmNdSiNi (PBE)

Data for a geometry-optimized PmNdSiNi structure.

## Properties
SG: No. 216
spin magnetization: 0.0 μB/f.u.
density of states at the Fermi level: 0.53 states/eV/atom

POSCAR file:
```
PmNdSiNi
1.0
5.053 0.000 0.000
2.527 4.376 0.000
2.527 1.459 4.126
Ni Si Nd Pm
1 1 1 1
Cartesian
2.527 1.459 1.032 Ni
7.580 4.376 3.095 Si
5.053 2.918 2.063 Nd
0.000 0.000 0.000 Pm
```


(1) comes first in stability; the runner-up is 18.1 kJ/mol of atoms higher.


(1)
## Pr2NdNi (PBE)

Data for a geometry-optimized Pr2NdNi structure.

## Properties
SG: No. 123
spin magnetization: 0.0 μB/f.u.
density of states at the Fermi level: 1.59 states/eV/atom

POSCAR file:
```
Pr2NdNi
1.0
3.590 0.000 0.000
0.000 3.590 0.000
0.000 0.000 9.002
Pr Ni Nd
2 1 1
Cartesian
0.000 0.000 7.326 Pr
0.000 0.000 1.676 Pr
1.795 1.795 0.000 Ni
1.795 1.795 4.501 Nd
```


(2)
## Pr2NdNi (PBE)

Data for a geometry-optimized Pr2NdNi structure.

## Properties
SG: No. 160
spin magnetization: 0.0 μB/f.u.
density of states at the Fermi level: 1.16 states/eV/atom

POSCAR file:
```
Pr2NdNi
1.0
-0.618 -0.145 -3.857
1.543 -2.900 -2.119
-7.406 -6.166 -0.561
Pr Nd Ni
2 1 1
Cartesian
-6.019 -5.240 -0.818 Pr
-1.078 -1.941 -1.735 Pr
-3.233 -4.600 -3.270 Nd
0.609 -2.035 -3.982 Ni
```


(3)
## Pr2NdNi (PBE)

Data for a geometry-optimized Pr2NdNi structure.

## Properties
SG: No. 166
spin magnetization: 0.5 μB/f.u.
density of states at the Fermi level: 1.60 states/eV/atom

POSCAR file:
```
Pr2NdNi
1.0
-2.111 2.198 -2.152
-0.111 -0.551 -3.688
-8.947 -6.117 -0.703
Pr Ni Nd
2 1 1
Cartesian
-6.211 -3.894 -1.118 Pr
-4.959 -0.575 -5.425 Pr
-5.585 -2.235 -3.272 Ni
0.000 0.000 0.000 Nd
```


(1) comes first in stability; the runner-up is 1.8 kJ/mol of atoms higher.


(1)
## Pr2NdNi (PBE)

Data for a geometry-optimized Pr2NdNi structure.

## Properties
SG: No. 63
spin magnetization: 0.0 μB/f.u.
density of states at the Fermi level: 1.39 states/eV/atom

POSCAR file:
```
Pr2NdNi
1.0
-1.190 1.178 3.420
2.384 -5.876 0.733
9.108 3.923 1.816
Pr Nd Ni
4 2 2
Cartesian
4.426 0.236 1.456 Pr
5.877 -1.010 4.513 Pr
9.187 0.415 5.174 Pr
1.116 -1.190 0.796 Pr
3.751 -3.372 2.466 Nd
6.552 2.598 3.504 Nd
2.506 -0.862 3.287 Ni
7.797 0.088 2.683 Ni
```


(2)
## Pr2NdNi (PBE)

Data for a geometry-optimized Pr2NdNi structure.

## Properties
SG: No. 62
spin magnetization: 0.0 μB/f.u.
density of states at the Fermi level: 1.09 states/eV/atom

POSCAR file:
```
Pr2NdNi
1.0
-1.187 5.797 -2.797
-5.337 1.106 4.557
6.409 4.417 6.434
Pr Nd Ni
8 4 4
Cartesian
-3.385 2.052 3.026 Pr
1.448 3.997 2.676 Pr
0.924 7.651 2.815 Pr
0.781 8.939 7.873 Pr
3.269 9.267 5.169 Pr
-1.564 7.322 5.519 Pr
-1.040 3.668 5.380 Pr
-0.897 2.381 0.322 Pr
-2.020 5.450 2.233 Nd
0.406 6.083 -0.617 Nd
1.904 5.869 5.961 Nd
-0.521 5.236 8.812 Nd
-0.529 1.909 3.179 Ni
-3.636 4.602 4.425 Ni
0.413 9.411 5.016 Ni
3.520 6.718 3.769 Ni
```


(2) comes first in stability; the runner-up is 1.6 kJ/mol of atoms higher.


(1)
## PrNdNi (PBE)

Data for a geometry-optimized PrNdNi structure.

## Properties
SG: No. 12
spin magnetization: 0.0 μB/f.u.
density of states at the Fermi level: 1.15 states/eV/atom

POSCAR file:
```
PrNdNi
1.0
0.364 2.871 2.510
-1.413 -2.799 6.329
5.893 -0.731 2.904
Pr Nd Ni
2 2 2
Cartesian
0.594 -0.182 5.968 Pr
4.251 -0.478 5.775 Pr
3.092 -2.640 8.416 Nd
1.752 1.980 3.327 Nd
2.139 -0.853 3.588 Ni
2.705 0.193 8.156 Ni
```


(2)
## PrNdNi (PBE)

Data for a geometry-optimized PrNdNi structure.

## Properties
SG: No. 216
spin magnetization: 0.0 μB/f.u.
density of states at the Fermi level: 1.78 states/eV/atom

POSCAR file:
```
PrNdNi
1.0
4.920 0.000 0.000
2.460 4.261 0.000
2.460 1.420 4.018
Pr Ni Nd
1 1 1
Cartesian
4.920 2.841 2.009 Pr
2.460 1.420 1.004 Ni
0.000 0.000 0.000 Nd
```


(3)
## PrNdNi (PBE)

Data for a geometry-optimized PrNdNi structure.

## Properties
SG: No. 2
spin magnetization: 0.0 μB/f.u.
density of states at the Fermi level: 1.29 states/eV/atom

POSCAR file:
```
PrNdNi
1.0
3.536 0.001 -0.007
-0.026 7.099 0.166
-1.777 -1.712 6.426
Pr Nd Ni
2 2 2
Cartesian
0.410 2.791 2.617 Pr
0.375 2.839 5.843 Pr
0.406 -0.672 5.853 Nd
0.379 6.302 2.607 Nd
2.170 0.859 4.086 Ni
2.151 4.774 4.367 Ni
```


(1) comes first in stability; the runner-up is 8.4 kJ/mol of atoms higher.


(1)
## PrNdNi (PBE)

Data for a geometry-optimized PrNdNi structure.

## Properties
SG: No. 107
spin magnetization: 0.0 μB/f.u.
density of states at the Fermi level: 1.38 states/eV/atom

POSCAR file:
```
PrNdNi
1.0
-2.009 1.523 2.485
-0.706 -3.183 1.379
6.539 1.356 1.934
Pr Ni Nd
1 1 1
Cartesian
3.071 0.312 2.292 Pr
0.345 -0.657 3.203 Ni
0.407 0.041 0.303 Nd
```


(2)
## PrNdNi (PBE)

Data for a geometry-optimized PrNdNi structure.

## Properties
SG: No. 156
spin magnetization: 0.0 μB/f.u.
density of states at the Fermi level: 1.01 states/eV/atom

POSCAR file:
```
PrNdNi
1.0
3.962 0.000 0.000
-1.981 3.431 0.000
0.000 0.000 6.530
Pr Ni Nd
1 1 1
Cartesian
0.000 2.288 3.806 Pr
1.981 1.144 2.166 Ni
0.000 0.000 0.558 Nd
```


(1) comes first in stability; the runner-up is 2.1 kJ/mol of atoms higher.


(1)
## Pr2NdNi2 (PBE)

Data for a geometry-optimized Pr2NdNi2 structure.

## Properties
SG: No. 12
spin magnetization: 0.0 μB/f.u.
density of states at the Fermi level: 1.34 states/eV/atom

POSCAR file:
```
Pr2NdNi2
1.0
-1.355 0.349 3.653
4.757 -2.914 2.044
2.070 5.418 -1.845
Pr Nd Ni
2 1 2
Cartesian
2.848 2.744 0.794 Pr
2.623 0.108 3.058 Pr
0.000 0.000 0.000 Nd
0.412 2.249 2.033 Ni
5.059 0.603 1.819 Ni
```


(2)
## Pr2NdNi2 (PBE)

Data for a geometry-optimized Pr2NdNi2 structure.

## Properties
SG: No. 65
spin magnetization: 0.0 μB/f.u.
density of states at the Fermi level: 0.83 states/eV/atom

POSCAR file:
```
Pr2NdNi2
1.0
-1.808 -0.036 3.479
-3.960 0.351 -2.055
1.512 -7.322 0.709
Pr Nd Ni
2 1 2
Cartesian
-3.024 -1.978 0.617 Pr
-1.233 -5.030 1.517 Pr
0.000 0.000 0.000 Nd
-0.190 -2.893 -0.129 Ni
-2.259 -4.078 -1.217 Ni
```


(2) comes first in stability; the runner-up is 9.1 kJ/mol of atoms higher.


(1)
## Pr3NdNi (PBE)

Data for a geometry-optimized Pr3NdNi structure.

## Properties
SG: No. 8
spin magnetization: 0.0 μB/f.u.
density of states at the Fermi level: 1.36 states/eV/atom

POSCAR file:
```
Pr3NdNi
1.0
3.748 0.000 0.616
1.803 6.120 0.742
-0.257 -0.418 13.280
Pr Nd Ni
6 2 2
Cartesian
3.365 5.950 2.946 Pr
3.949 3.863 11.107 Pr
0.528 0.655 8.501 Pr
3.686 0.314 12.709 Pr
2.918 0.181 5.669 Pr
2.598 3.532 7.618 Pr
1.239 3.052 4.170 Nd
1.824 3.381 0.615 Nd
3.424 2.118 2.591 Ni
2.087 1.598 10.724 Ni
```


(2)
## Pr3NdNi (PBE)

Data for a geometry-optimized Pr3NdNi structure.

## Properties
SG: No. 14
spin magnetization: 0.0 μB/f.u.
density of states at the Fermi level: 1.16 states/eV/atom

POSCAR file:
```
Pr3NdNi
1.0
-0.333 4.419 5.905
-8.364 -0.129 -0.376
3.054 -7.808 6.015
Pr Nd Ni
12 4 4
Cartesian
0.504 -2.418 3.072 Pr
-6.148 -1.100 8.472 Pr
-7.597 1.777 4.092 Pr
1.954 -5.295 7.453 Pr
-5.533 -0.833 4.932 Pr
-0.110 -2.685 6.612 Pr
-1.471 -0.985 0.660 Pr
-4.172 -2.533 10.884 Pr
-3.158 -3.183 4.172 Pr
-2.485 -0.334 7.373 Pr
-0.934 -4.564 9.945 Pr
-4.709 1.046 1.599 Pr
-5.255 2.143 7.049 Nd
-0.388 -5.661 4.495 Nd
-2.061 0.183 4.080 Nd
-3.582 -3.701 7.464 Nd
-5.992 -3.647 4.770 Ni
0.349 0.129 6.774 Ni
1.871 -3.706 9.873 Ni
-7.514 0.189 1.671 Ni
```


(1) comes first in stability; the runner-up is 6.7 kJ/mol of atoms higher.


(1)
## PrNdNiRu (PBE)

Data for a geometry-optimized PrNdNiRu structure.

## Properties
SG: No. 38
spin magnetization: 0.0 μB/f.u.
density of states at the Fermi level: 0.75 states/eV/atom

POSCAR file:
```
PrNdNiRu
1.0
4.089 0.000 0.000
0.000 4.118 0.000
-2.044 0.000 5.459
Pr Nd Ni Ru
1 1 1 1
Cartesian
0.000 0.000 1.568 Pr
2.044 2.059 3.917 Nd
2.044 2.059 0.717 Ni
0.000 0.000 4.715 Ru
```


(2)
## PrNdNiRu (PBE)

Data for a geometry-optimized PrNdNiRu structure.

## Properties
SG: No. 216
spin magnetization: 0.0 μB/f.u.
density of states at the Fermi level: 1.05 states/eV/atom

POSCAR file:
```
PrNdNiRu
1.0
4.985 0.000 0.000
2.492 4.317 0.000
2.492 1.439 4.070
Pr Ru Nd Ni
1 1 1 1
Cartesian
4.985 2.878 2.035 Pr
2.492 1.439 1.017 Ru
0.000 0.000 0.000 Nd
7.477 4.317 3.052 Ni
```


(1) comes first in stability; the runner-up is 7.1 kJ/mol of atoms higher.


(1)
## PrNdZnNi (PBE)

Data for a geometry-optimized PrNdZnNi structure.

## Properties
SG: No. 38
spin magnetization: 0.0 μB/f.u.
density of states at the Fermi level: 0.85 states/eV/atom

POSCAR file:
```
PrNdZnNi
1.0
3.927 0.000 0.000
0.000 4.495 0.000
-1.964 0.000 5.516
Pr Nd Zn Ni
1 1 1 1
Cartesian
1.964 2.247 2.819 Pr
0.000 0.000 0.384 Nd
0.000 0.000 3.611 Zn
0.000 2.247 4.988 Ni
```


(2)
## PrNdZnNi (PBE)

Data for a geometry-optimized PrNdZnNi structure.

## Properties
SG: No. 216
spin magnetization: 0.0 μB/f.u.
density of states at the Fermi level: 0.80 states/eV/atom

POSCAR file:
```
PrNdZnNi
1.0
5.107 0.000 0.000
2.554 4.423 0.000
2.554 1.474 4.170
Pr Ni Zn Nd
1 1 1 1
Cartesian
2.554 1.474 1.043 Pr
0.000 0.000 0.000 Ni
5.107 2.949 2.085 Zn
7.661 4.423 3.128 Nd
```


(1) comes first in stability; the runner-up is 4.4 kJ/mol of atoms higher.


(1)
## Nd12Ni6Pt (PBE)

Data for a geometry-optimized Nd12Ni6Pt structure.

## Properties
SG: No. 148
spin magnetization: 0.0 μB/f.u.
density of states at the Fermi level: 1.22 states/eV/atom

POSCAR file:
```
Nd12Ni6Pt
1.0
8.285 -0.007 -0.009
-1.263 8.188 -0.009
-1.263 -1.472 8.055
Nd Ni Pt
12 6 1
Cartesian
5.500 4.178 3.426 Nd
1.760 5.834 4.723 Nd
3.296 2.286 6.584 Nd
0.259 2.532 4.612 Nd
3.999 0.876 3.315 Nd
2.463 4.423 1.454 Nd
-0.843 7.209 2.626 Nd
-1.494 4.172 7.313 Nd
4.350 7.346 0.476 Nd
6.602 -0.499 5.412 Nd
7.253 2.538 0.725 Nd
1.409 -0.637 7.562 Nd
4.112 6.530 3.121 Ni
4.500 2.357 1.056 Ni
-0.072 4.542 2.508 Ni
1.647 0.180 4.917 Ni
1.259 4.353 6.982 Ni
5.831 2.168 5.530 Ni
0.000 0.000 0.000 Pt
```


(2)
## Nd12Ni6Pt (PBE)

Data for a geometry-optimized Nd12Ni6Pt structure.

## Properties
SG: No. 204
spin magnetization: 0.0 μB/f.u.
density of states at the Fermi level: 0.95 states/eV/atom

POSCAR file:
```
Nd12Ni6Pt
1.0
-4.826 5.630 -4.308
2.248 -6.422 -5.220
-4.473 -3.126 6.616
Nd Ni Pt
12 6 1
Cartesian
-4.837 -1.607 3.501 Nd
-1.183 -1.994 -2.602 Nd
-5.868 -1.924 -0.311 Nd
-2.214 -2.311 -6.413 Nd
-0.067 -5.525 -2.775 Nd
-3.264 0.606 -1.061 Nd
-3.787 -4.523 -1.852 Nd
-6.984 1.607 -0.138 Nd
-3.783 2.305 -4.314 Nd
-2.378 -2.403 0.843 Nd
-4.673 -1.514 -3.756 Nd
-3.268 -6.223 1.401 Nd
-4.605 -3.834 1.564 Ni
-2.446 -0.084 -4.477 Ni
-2.125 -3.982 -4.240 Ni
-4.926 0.064 1.328 Ni
-5.618 0.955 -2.424 Ni
-1.433 -4.873 -0.488 Ni
0.000 0.000 0.000 Pt
```


(2) comes first in stability; the runner-up is 9.8 kJ/mol of atoms higher.


(1)
## Nd3NiPt (PBE)

Data for a geometry-optimized Nd3NiPt structure.

## Properties
SG: No. 12
spin magnetization: 0.0 μB/f.u.
density of states at the Fermi level: 0.97 states/eV/atom

POSCAR file:
```
Nd3NiPt
1.0
-0.186 -2.526 -3.098
7.891 1.981 0.498
1.916 -6.278 5.005
Nd Ni Pt
6 2 2
Cartesian
2.192 -2.299 1.828 Nd
8.056 -3.459 2.423 Nd
3.580 -5.816 2.032 Nd
7.527 -0.699 -2.378 Nd
4.256 0.296 -0.410 Nd
5.464 -3.293 -0.139 Nd
5.224 -3.681 2.776 Ni
6.412 -5.593 1.681 Ni
7.458 -1.119 0.553 Pt
2.261 -1.878 -1.103 Pt
```


(2)
## Nd3NiPt (PBE)

Data for a geometry-optimized Nd3NiPt structure.

## Properties
SG: No. 14
spin magnetization: 0.0 μB/f.u.
density of states at the Fermi level: 0.87 states/eV/atom

POSCAR file:
```
Nd3NiPt
1.0
-0.061 2.588 6.498
2.743 -6.477 2.605
8.431 5.032 -1.924
Nd Ni Pt
12 4 4
Cartesian
2.327 1.099 1.966 Nd
8.786 0.043 5.213 Nd
3.191 1.110 5.735 Nd
7.922 0.033 1.444 Nd
2.590 -2.061 8.302 Nd
8.523 3.204 -1.123 Nd
5.649 -1.307 4.266 Nd
5.464 2.449 2.914 Nd
2.538 -2.959 5.060 Nd
8.574 4.102 2.119 Nd
5.760 -2.883 1.295 Nd
5.353 4.026 5.884 Nd
10.542 -0.595 2.601 Ni
0.571 1.738 4.578 Ni
6.152 1.278 5.578 Ni
4.961 -0.135 1.601 Ni
5.365 -3.041 6.614 Pt
5.748 4.183 0.565 Pt
2.909 -1.773 2.322 Pt
8.204 2.916 4.857 Pt
```


(1) comes first in stability; the runner-up is 1.4 kJ/mol of atoms higher.